{"formula": "H2W", "functional": "GGA-PBE", "state": "relaxed", "e_tot_ev_per_cell": -75.39, "dos_ef_per_ev_cell": 3.27, "space_group": "Pnma, No. 62", "magnetic_moment_mub_per_cell": 0.000, "cell": [[3.107, 0.000, 0.000], [0.000, 5.013, 0.000], [0.000, 0.000, 5.375]], "species": ["H", "H", "H", "W", "W", "H", "H", "H", "W", "H", "H", "W"], "fractional_positions": [[0.250, 0.972, 0.165], [0.750, 0.028, 0.835], [0.750, 0.886, 0.422], [0.250, 0.731, 0.584], [0.750, 0.269, 0.416], [0.250, 0.114, 0.578], [0.750, 0.386, 0.078], [0.250, 0.614, 0.922], [0.250, 0.231, 0.916], [0.750, 0.528, 0.665], [0.250, 0.472, 0.335], [0.750, 0.769, 0.084]]}